Record 1
## LaPr4Bi5 (PBE)

Data for a relaxed LaPr4Bi5 crystal.

The space group is Immm (71). The energy of formation from the pure elements is -946 kJ/mol of formula units. Its density of states at the Fermi level is 0.1970 states/eV/atom. As for the uncorrected energy: -5.3254 eV/atom.

```
LaPr4Bi5
1.0
-2.330 3.289 11.630
2.330 -3.289 11.630
2.330 3.289 -11.630
La Pr Bi
1 4 5
Direct
0.000 0.000 0.000
0.201 0.201 0.000
0.400 0.400 0.000
0.600 0.600 0.000
0.799 0.799 0.000
0.101 0.601 0.500
0.300 0.800 0.500
0.500 0.000 0.500
0.700 0.200 0.500
0.899 0.399 0.500
```

Record 2
## RbCu3Re (PBE)

Data for a relaxed RbCu3Re crystal.

The space group is Pm-3m (221). The energy of formation from the pure elements is 1339 kJ/mol of formula units. Its density of states at the Fermi level is 1.0101 states/eV/atom. As for the uncorrected energy: -2.3651 eV/atom.

```
RbCu3Re
1.0
4.682 0.000 0.000
0.000 4.682 0.000
0.000 0.000 4.682
Rb Cu Re
1 3 1
Direct
0.000 0.000 0.000
0.000 0.000 0.500
0.000 0.500 0.000
0.500 0.000 0.000
0.500 0.500 0.500
```

Record 3
## Dy3Ga2Hg4 (PBE)

Data for a relaxed Dy3Ga2Hg4 crystal.

The space group is C2/m (12). The energy of formation from the pure elements is -398 kJ/mol of formula units. Its density of states at the Fermi level is 0.4992 states/eV/atom. As for the uncorrected energy: -2.7988 eV/atom.

```
Dy3Ga2Hg4
1.0
5.470 -2.383 0.000
5.470 2.383 0.000
-4.020 0.000 8.001
Dy Ga Hg
3 2 4
Direct
0.000 0.000 0.000
0.335 0.335 0.328
0.665 0.665 0.672
0.395 0.395 0.726
0.605 0.605 0.274
0.086 0.086 0.413
0.304 0.304 0.963
0.696 0.696 0.037
0.914 0.914 0.587
```

Record 4
## ErTlZnSe3 (PBE)

Data for a relaxed ErTlZnSe3 crystal.

The space group is P2_1/m (11). Its density of states at the Fermi level is 0.0000 states/eV/atom. As for the uncorrected energy: -4.2306 eV/atom. For the energy relative to the elements, uncorrected, the calculation gives -1.12 eV per atom.

```
ErTlZnSe3
1.0
9.072 0.000 0.000
0.000 4.107 0.000
-3.015 0.000 9.279
Er Tl Zn Se
2 2 2 6
Direct
0.172 0.250 0.141
0.828 0.750 0.859
0.289 0.750 0.777
0.711 0.250 0.223
0.418 0.750 0.393
0.582 0.250 0.607
0.037 0.250 0.839
0.294 0.250 0.463
0.389 0.750 0.134
0.611 0.250 0.866
0.706 0.750 0.537
0.963 0.750 0.161
```

Record 5
## Cs2PrTlCl6 (PBE)

Data for a relaxed Cs2PrTlCl6 crystal.

The space group is P2_1/c (14). Its density of states at the Fermi level is 0.0000 states/eV/atom. As for the uncorrected energy: -3.9535 eV/atom. For the energy relative to the elements, uncorrected, the calculation gives -1.96 eV per atom.

```
Cs2PrTlCl6
1.0
8.031 0.000 0.000
0.000 8.385 0.000
-7.966 0.000 11.510
Cs Pr Tl Cl
4 2 2 12
Direct
0.232 0.060 0.249
0.232 0.440 0.749
0.768 0.560 0.251
0.768 0.940 0.751
0.500 0.000 0.000
0.500 0.500 0.500
0.000 0.000 0.500
0.000 0.500 0.000
0.178 0.186 0.956
0.178 0.314 0.456
0.267 0.727 0.949
0.267 0.773 0.449
0.360 0.031 0.769
0.360 0.469 0.269
0.640 0.531 0.731
0.640 0.969 0.231
0.733 0.227 0.551
0.733 0.273 0.051
0.822 0.686 0.544
0.822 0.814 0.044
```

Record 6
## AlMo2AsCl (PBE)

Data for a relaxed AlMo2AsCl crystal.

The space group is P4/mmm (123). Its density of states at the Fermi level is 1.1288 states/eV/atom. As for the uncorrected energy: -5.0863 eV/atom. For the energy relative to the elements, uncorrected, the calculation gives 1.29 eV per atom.

```
AlMo2AsCl
1.0
4.448 0.000 0.000
0.000 4.448 0.000
0.000 0.000 4.808
Al Mo As Cl
1 2 1 1
Direct
0.000 0.000 0.000
0.000 0.500 0.500
0.500 0.000 0.500
0.500 0.500 0.000
0.500 0.500 0.500
```